# PBE YSbRu2, optimized geometry
data_YSbRu2
_chemical_formula_sum 'Y1 Sb1 Ru2'
_symmetry_space_group_name_H-M 'P 1'
_symmetry_Int_Tables_number 1
_symmetry_space_group_name_Hall 'P 1'
_cell_length_a 4.571
_cell_length_b 4.571
_cell_length_c 3.447
_cell_angle_alpha 90.00
_cell_angle_beta 90.00
_cell_angle_gamma 90.00
loop_
_atom_site_label
_atom_site_type_symbol
_atom_site_fract_x
_atom_site_fract_y
_atom_site_fract_z
Ru1 Ru 0.000 0.000 0.000
Ru2 Ru 0.500 0.500 0.000
Sb1 Sb 0.500 0.000 0.500
Y1 Y 0.000 0.500 0.500
# Formation energy (no corrections)   -0.35 eV/atom



# PBE Ni2Pd4Au, optimized geometry
data_Ni2Pd4Au
_chemical_formula_sum 'Ni4 Pd8 Au2'
_symmetry_space_group_name_H-M 'P 1'
_symmetry_Int_Tables_number 1
_symmetry_space_group_name_Hall 'P 1'
_cell_length_a 9.855
_cell_length_b 9.855
_cell_length_c 4.787
_cell_angle_alpha 94.66
_cell_angle_beta 94.66
_cell_angle_gamma 151.95
loop_
_atom_site_label
_atom_site_type_symbol
_atom_site_fract_x
_atom_site_fract_y
_atom_site_fract_z
Ni1 Ni 0.558 0.198 0.501
Ni2 Ni 0.766 0.982 0.000
Ni3 Ni 0.982 0.766 0.500
Ni4 Ni 0.198 0.558 0.001
Pd1 Pd 0.697 0.057 0.502
Pd2 Pd 0.057 0.697 0.002
Pd3 Pd 0.123 0.633 0.503
Pd4 Pd 0.633 0.123 0.003
Pd5 Pd 0.333 0.414 0.998
Pd6 Pd 0.840 0.909 0.498
Pd7 Pd 0.909 0.840 0.998
Pd8 Pd 0.414 0.333 0.498
Au1 Au 0.265 0.485 0.499
Au2 Au 0.485 0.265 0.999
# Energy of formation from the pure elements   0.046 eV/atom



# PBE TbPbF4, optimized geometry
data_TbPbF4
_chemical_formula_sum 'Tb2 Pb2 F8'
_symmetry_space_group_name_H-M 'P 1'
_symmetry_Int_Tables_number 1
_symmetry_space_group_name_Hall 'P 1'
_cell_length_a 6.813
_cell_length_b 6.813
_cell_length_c 6.813
_cell_angle_alpha 112.36
_cell_angle_beta 112.36
_cell_angle_gamma 103.84
loop_
_atom_site_label
_atom_site_type_symbol
_atom_site_fract_x
_atom_site_fract_y
_atom_site_fract_z
Tb1 Tb 0.752 0.752 0.000
Tb2 Tb 0.502 0.002 0.500
Pb1 Pb 0.250 0.250 0.000
Pb2 Pb 0.000 0.500 0.500
F1 F 0.305 0.990 0.685
F2 F 0.694 0.402 0.708
F3 F 0.740 0.555 0.185
F4 F 0.152 0.944 0.208
F5 F 0.371 0.555 0.815
F6 F 0.736 0.944 0.792
F7 F 0.694 0.986 0.292
F8 F 0.305 0.621 0.315
# Formation energy (no corrections)   -3.07 eV/atom



# PBE Pm2LuCu, optimized geometry
data_Pm2LuCu
_chemical_formula_sum 'Pm2 Lu1 Cu1'
_symmetry_space_group_name_H-M 'P 1'
_symmetry_Int_Tables_number 1
_symmetry_space_group_name_Hall 'P 1'
_cell_length_a 3.472
_cell_length_b 3.472
_cell_length_c 11.486
_cell_angle_alpha 81.31
_cell_angle_beta 81.31
_cell_angle_gamma 60.00
loop_
_atom_site_label
_atom_site_type_symbol
_atom_site_fract_x
_atom_site_fract_y
_atom_site_fract_z
Lu1 Lu 0.500 0.500 0.500
Cu1 Cu 0.000 0.000 0.000
Pm1 Pm 0.083 0.083 0.752
Pm2 Pm 0.917 0.917 0.248
# Distance to the lowest polymorph of the same formula   44.7 kJ per mole of atoms
# Energy of formation from the pure elements   0.420 eV/atom



# PBE FeH2Rh, optimized geometry
data_FeH2Rh
_chemical_formula_sum 'Fe4 H8 Rh4'
_symmetry_space_group_name_H-M 'P 1'
_symmetry_Int_Tables_number 1
_symmetry_space_group_name_Hall 'P 1'
_cell_length_a 4.628
_cell_length_b 2.832
_cell_length_c 9.874
_cell_angle_alpha 90.00
_cell_angle_beta 108.20
_cell_angle_gamma 90.00
loop_
_atom_site_label
_atom_site_type_symbol
_atom_site_fract_x
_atom_site_fract_y
_atom_site_fract_z
Fe1 Fe 0.645 0.000 0.847
Fe2 Fe 0.355 0.000 0.153
Fe3 Fe 0.645 0.500 0.347
Fe4 Fe 0.355 0.500 0.653
H1 H 0.774 0.000 0.256
H2 H 0.226 0.000 0.744
H3 H 0.774 0.500 0.756
H4 H 0.226 0.500 0.244
H5 H 0.500 0.500 0.500
H6 H 0.500 0.000 0.000
H7 H 0.000 0.000 0.000
H8 H 0.000 0.500 0.500
Rh1 Rh 0.820 0.000 0.599
Rh2 Rh 0.180 0.000 0.401
Rh3 Rh 0.820 0.500 0.099
Rh4 Rh 0.180 0.500 0.901
# Final energy   -89.77 eV per cell



# PBE Dy6Pt2O, optimized geometry
data_Dy6Pt2O
_chemical_formula_sum 'Dy12 Pt4 O2'
_symmetry_space_group_name_H-M 'P 1'
_symmetry_Int_Tables_number 1
_symmetry_space_group_name_Hall 'P 1'
_cell_length_a 6.423
_cell_length_b 7.021
_cell_length_c 9.551
_cell_angle_alpha 90.00
_cell_angle_beta 88.48
_cell_angle_gamma 90.00
loop_
_atom_site_label
_atom_site_type_symbol
_atom_site_fract_x
_atom_site_fract_y
_atom_site_fract_z
Dy1 Dy 0.121 0.028 0.256
Dy2 Dy 0.176 0.314 0.559
Dy3 Dy 0.187 0.320 0.942
Dy4 Dy 0.313 0.820 0.558
Dy5 Dy 0.324 0.814 0.941
Dy6 Dy 0.379 0.528 0.244
Dy7 Dy 0.879 0.972 0.744
Dy8 Dy 0.824 0.686 0.441
Dy9 Dy 0.813 0.680 0.058
Dy10 Dy 0.687 0.180 0.442
Dy11 Dy 0.676 0.186 0.059
Dy12 Dy 0.621 0.472 0.756
Pt1 Pt 0.048 0.602 0.754
Pt2 Pt 0.452 0.102 0.746
Pt3 Pt 0.548 0.898 0.254
Pt4 Pt 0.952 0.398 0.246
O1 O 0.500 0.500 0.000
O2 O 0.000 0.000 0.500
# Formation energy (no corrections)   -1.28 eV/atom



# PBE ErMgGa2Cu5, optimized geometry
data_ErMgGa2Cu5
_chemical_formula_sum 'Er1 Mg1 Ga2 Cu5'
_symmetry_space_group_name_H-M 'P 1'
_symmetry_Int_Tables_number 1
_symmetry_space_group_name_Hall 'P 1'
_cell_length_a 4.448
_cell_length_b 4.448
_cell_length_c 7.545
_cell_angle_alpha 90.00
_cell_angle_beta 90.00
_cell_angle_gamma 90.00
loop_
_atom_site_label
_atom_site_type_symbol
_atom_site_fract_x
_atom_site_fract_y
_atom_site_fract_z
Er1 Er 0.000 0.000 0.500
Mg1 Mg 0.000 0.000 0.000
Ga1 Ga 0.500 0.500 0.161
Ga2 Ga 0.500 0.500 0.839
Cu1 Cu 0.000 0.500 0.282
Cu2 Cu 0.500 0.000 0.282
Cu3 Cu 0.000 0.500 0.718
Cu4 Cu 0.500 0.000 0.718
Cu5 Cu 0.500 0.500 0.500
# Energy of formation from the pure elements   -0.061 eV/atom



# PBE Cs2RbMoI6, optimized geometry
data_Cs2RbMoI6
_chemical_formula_sum 'Cs2 Rb1 Mo1 I6'
_symmetry_space_group_name_H-M 'P 1'
_symmetry_Int_Tables_number 1
_symmetry_space_group_name_Hall 'P 1'
_cell_length_a 8.902
_cell_length_b 8.902
_cell_length_c 8.902
_cell_angle_alpha 60.00
_cell_angle_beta 60.00
_cell_angle_gamma 90.00
loop_
_atom_site_label
_atom_site_type_symbol
_atom_site_fract_x
_atom_site_fract_y
_atom_site_fract_z
Cs1 Cs 0.750 0.250 0.500
Cs2 Cs 0.250 0.750 0.500
I1 I 0.224 0.224 0.553
I2 I 0.776 0.776 0.447
I3 I 0.224 0.224 0.000
I4 I 0.776 0.776 0.000
I5 I 0.776 0.224 0.000
I6 I 0.224 0.776 0.000
Mo1 Mo 0.000 0.000 0.000
Rb1 Rb 0.500 0.500 0.000
# Distance to the lowest polymorph of the same formula   0.7 kJ per mole of atoms
# Formation energy (no corrections)   -0.96 eV/atom



# PBE InBiN3, optimized geometry
data_InBiN3
_chemical_formula_sum 'In1 Bi1 N3'
_symmetry_space_group_name_H-M 'P 1'
_symmetry_Int_Tables_number 1
_symmetry_space_group_name_Hall 'P 1'
_cell_length_a 4.220
_cell_length_b 4.220
_cell_length_c 4.220
_cell_angle_alpha 90.00
_cell_angle_beta 90.00
_cell_angle_gamma 90.00
loop_
_atom_site_label
_atom_site_type_symbol
_atom_site_fract_x
_atom_site_fract_y
_atom_site_fract_z
N1 N 0.000 0.500 0.000
N2 N 0.000 0.000 0.500
N3 N 0.500 0.000 0.000
Bi1 Bi 0.500 0.500 0.500
In1 In 0.000 0.000 0.000
# Formation energy (no corrections)   1.67 eV/atom



# PBE NdSmHoMg, optimized geometry
data_NdSmHoMg
_chemical_formula_sum 'Nd1 Sm1 Ho1 Mg1'
_symmetry_space_group_name_H-M 'P 1'
_symmetry_Int_Tables_number 1
_symmetry_space_group_name_Hall 'P 1'
_cell_length_a 5.583
_cell_length_b 5.583
_cell_length_c 5.583
_cell_angle_alpha 60.00
_cell_angle_beta 60.00
_cell_angle_gamma 60.00
loop_
_atom_site_label
_atom_site_type_symbol
_atom_site_fract_x
_atom_site_fract_y
_atom_site_fract_z
Mg1 Mg 0.000 0.000 0.000
Nd1 Nd 0.750 0.750 0.750
Ho1 Ho 0.500 0.500 0.500
Sm1 Sm 0.250 0.250 0.250
# Distance to the lowest polymorph of the same formula   5.3 kJ per mole of atoms
# Energy of formation from the pure elements   0.024 eV/atom



# PBE BiTe2Au2, optimized geometry
data_BiTe2Au2
_chemical_formula_sum 'Bi2 Te4 Au4'
_symmetry_space_group_name_H-M 'P 1'
_symmetry_Int_Tables_number 1
_symmetry_space_group_name_Hall 'P 1'
_cell_length_a 8.508
_cell_length_b 8.508
_cell_length_c 3.667
_cell_angle_alpha 90.00
_cell_angle_beta 90.00
_cell_angle_gamma 90.00
loop_
_atom_site_label
_atom_site_type_symbol
_atom_site_fract_x
_atom_site_fract_y
_atom_site_fract_z
Te1 Te 0.304 0.804 0.000
Te2 Te 0.804 0.696 0.000
Te3 Te 0.696 0.196 0.000
Te4 Te 0.196 0.304 0.000
Au1 Au 0.116 0.616 0.500
Au2 Au 0.616 0.884 0.500
Au3 Au 0.884 0.384 0.500
Au4 Au 0.384 0.116 0.500
Bi1 Bi 0.000 0.000 0.000
Bi2 Bi 0.500 0.500 0.000
# Distance to the lowest polymorph of the same formula   6.0 kJ per mole of atoms
# Formation energy (no corrections)   0.15 eV/atom



# PBE LiAg2BiBr6, optimized geometry
data_LiAg2BiBr6
_chemical_formula_sum 'Li1 Ag2 Bi1 Br6'
_symmetry_space_group_name_H-M 'P 1'
_symmetry_Int_Tables_number 1
_symmetry_space_group_name_Hall 'P 1'
_cell_length_a 7.220
_cell_length_b 7.221
_cell_length_c 7.720
_cell_angle_alpha 62.10
_cell_angle_beta 62.12
_cell_angle_gamma 60.00
loop_
_atom_site_label
_atom_site_type_symbol
_atom_site_fract_x
_atom_site_fract_y
_atom_site_fract_z
Li1 Li 0.816 0.816 0.552
Ag1 Ag 0.521 0.520 0.439
Ag2 Ag 0.018 0.018 0.946
Bi1 Bi 0.323 0.323 0.030
Br1 Br 0.600 0.214 0.264
Br2 Br 0.214 0.922 0.264
Br3 Br 0.922 0.600 0.264
Br4 Br 0.427 0.727 0.752
Br5 Br 0.727 0.094 0.752
Br6 Br 0.094 0.427 0.752
# Formation energy (no corrections)   -0.71 eV/atom



# PBE Zn3Se, optimized geometry
data_Zn3Se
_chemical_formula_sum 'Zn3 Se1'
_symmetry_space_group_name_H-M 'P 1'
_symmetry_Int_Tables_number 1
_symmetry_space_group_name_Hall 'P 1'
_cell_length_a 6.449
_cell_length_b 6.449
_cell_length_c 6.449
_cell_angle_alpha 147.02
_cell_angle_beta 147.02
_cell_angle_gamma 47.34
loop_
_atom_site_label
_atom_site_type_symbol
_atom_site_fract_x
_atom_site_fract_y
_atom_site_fract_z
Se1 Se 0.000 0.000 0.000
Zn1 Zn 0.250 0.750 0.500
Zn2 Zn 0.500 0.500 0.000
Zn3 Zn 0.750 0.250 0.500
# Distance to the lowest polymorph of the same formula   19.1 kJ per mole of atoms
# Formation energy (no corrections)   0.03 eV/atom



# PBE LiCa2Si, optimized geometry
data_LiCa2Si
_chemical_formula_sum 'Li1 Ca2 Si1'
_symmetry_space_group_name_H-M 'P 1'
_symmetry_Int_Tables_number 1
_symmetry_space_group_name_Hall 'P 1'
_cell_length_a 10.159
_cell_length_b 10.159
_cell_length_c 10.159
_cell_angle_alpha 21.04
_cell_angle_beta 21.04
_cell_angle_gamma 21.04
loop_
_atom_site_label
_atom_site_type_symbol
_atom_site_fract_x
_atom_site_fract_y
_atom_site_fract_z
Ca1 Ca 0.014 0.014 0.014
Ca2 Ca 0.486 0.486 0.486
Li1 Li 0.250 0.250 0.250
Si1 Si 0.750 0.750 0.750
# Formation energy (no corrections)   0.00 eV/atom



# PBE TbPm3Dy2Bi6, optimized geometry
data_TbPm3Dy2Bi6
_chemical_formula_sum 'Tb1 Pm3 Dy2 Bi6'
_symmetry_space_group_name_H-M 'P 1'
_symmetry_Int_Tables_number 1
_symmetry_space_group_name_Hall 'P 1'
_cell_length_a 4.531
_cell_length_b 9.058
_cell_length_c 10.125
_cell_angle_alpha 102.83
_cell_angle_beta 102.93
_cell_angle_gamma 90.00
loop_
_atom_site_label
_atom_site_type_symbol
_atom_site_fract_x
_atom_site_fract_y
_atom_site_fract_z
Tb1 Tb 0.500 0.000 0.000
Pm1 Pm 0.500 0.500 0.000
Pm2 Pm 0.833 0.167 0.667
Pm3 Pm 0.167 0.833 0.333
Dy1 Dy 0.833 0.667 0.667
Dy2 Dy 0.167 0.333 0.333
Bi1 Bi 0.335 0.913 0.669
Bi2 Bi 0.668 0.579 0.336
Bi3 Bi 0.665 0.087 0.331
Bi4 Bi 0.002 0.247 0.003
Bi5 Bi 0.998 0.753 0.997
Bi6 Bi 0.332 0.421 0.664
# Energy of formation from the pure elements   -0.902 eV/atom